No. 1
8
Lattice="-0.345 -4.699 -3.541 6.714 -0.385 -0.143 -3.459 -3.308 4.727" Properties=species:S:1:pos:R:3 comment="GGA-PBEsol HoBi3, optimized geometry" total_energy_ha_per_atom=-0.1769 mass_density_g_cm3=11.39 dos_ef_per_ev_cell=3.751 sg="P6_3/mmc, No. 194" pbc="T T T"
Bi -0.121 -2.383 0.721
Bi 1.461 -4.228 -1.889
Bi 3.032 -6.010 0.323
Ho 3.237 -2.534 0.595
Bi 4.701 -4.414 -1.958
Ho -0.327 -5.858 0.448
Bi 1.449 -4.164 2.933
Bi -1.790 -3.978 3.002

=====

No. 2
16
Lattice="-7.257 -0.882 1.777 4.178 -7.019 -2.350 1.927 -4.733 5.521" Properties=species:S:1:pos:R:3 comment="GGA-PBEsol Ho5Ni2Bi, optimized geometry" total_energy_ha_per_atom=-0.2074 mass_density_g_cm3=10.19 dos_ef_per_ev_cell=14.275 sg="I4/mcm, No. 140" pbc="T T T"
Ho 0.021 -4.604 2.773
Ho -3.246 -5.934 4.697
Ni -1.003 -4.439 5.454
Ho 4.420 -8.902 2.679
Ho -1.173 -8.030 2.176
Ho -2.305 -2.403 0.345
Ho 0.000 0.000 0.000
Ho -2.665 -2.808 3.649
Ni -5.090 -3.753 5.028
Ho -5.572 -3.733 2.270
Bi 1.720 -7.280 3.410
Bi -2.872 -5.355 1.538
Ho 1.153 -10.231 4.604
Ni -4.327 -1.177 1.845
Ho 2.094 -6.701 0.252
Ni -0.239 -1.862 2.270

=====

No. 3
3
Lattice="-0.630 -4.190 -1.510 0.731 -3.505 2.722 -3.466 -2.437 1.509" Properties=species:S:1:pos:R:3 comment="GGA-PBEsol HoNiBi, optimized geometry" total_energy_ha_per_atom=-0.2149 mass_density_g_cm3=11.17 dos_ef_per_ev_cell=0.047 sg="F-43m, No. 216" pbc="T T T"
Ho -1.682 -5.066 1.361
Ni -0.841 -2.533 0.680
Bi 0.000 0.000 0.000

=====

No. 4
5
Lattice="-3.174 2.059 -0.475 -1.996 -3.203 -0.548 1.375 0.210 7.027" Properties=species:S:1:pos:R:3 comment="GGA-PBEsol Ho2BiO2, optimized geometry" total_energy_ha_per_atom=-0.2833 mass_density_g_cm3=9.82 dos_ef_per_ev_cell=0.698 sg="I4/mmm, No. 139" pbc="T T T"
Ho -2.991 -0.693 1.676
O -1.603 -1.782 2.984
Ho -0.804 -0.240 4.328
O -2.192 0.849 3.020
Bi 0.000 0.000 0.000

=====

No. 5
10
Lattice="5.947 0.000 0.000 2.974 5.150 0.000 2.974 1.717 4.908" Properties=species:S:1:pos:R:3 comment="GGA-PBEsol HoBiO3, optimized geometry" total_energy_ha_per_atom=-0.2721 mass_density_g_cm3=9.32 dos_ef_per_ev_cell=0.000 sg="R-3, No. 148" pbc="T T T"
O 4.969 5.547 1.203
O 6.925 1.320 3.704
Bi 5.947 3.434 0.393
O 7.289 5.337 3.704
Ho 2.974 1.717 2.835
O 8.266 3.223 1.203
Ho 8.921 5.150 2.073
O 3.628 3.644 3.704
O 4.606 1.530 1.203
Bi 5.947 3.434 4.514

=====

No. 6
20
Lattice="-3.663 -3.233 -2.984 2.956 -5.053 1.848 -4.974 -0.485 6.631" Properties=species:S:1:pos:R:3 comment="GGA-PBEsol HoBiO3, optimized geometry" total_energy_ha_per_atom=-0.2726 mass_density_g_cm3=9.60 dos_ef_per_ev_cell=0.000 sg="Pnma, No. 62" pbc="T T T"
O -5.237 -5.933 3.435
Bi -1.524 -4.502 1.127
Bi -4.746 -3.516 -1.218
O -4.733 -1.915 6.030
O -2.894 -1.736 3.578
Ho -1.831 -1.617 -1.492
O 0.244 -6.062 2.339
O -2.787 -7.035 1.916
O -2.010 -4.787 4.018
O -0.948 -6.856 -0.535
Bi -0.935 -5.256 6.712
O -1.832 -3.805 -0.975
O -0.444 -2.838 2.059
Bi -4.157 -4.269 4.367
O -3.671 -3.985 1.476
Ho -4.318 -1.859 1.823
Ho -1.009 -2.769 4.239
O -5.925 -2.709 3.155
O -3.849 -4.966 6.470
Ho 1.478 -2.527 0.924

=====

No. 7
33
Lattice="-8.039 3.353 -0.866 2.966 -2.529 -7.837 -0.281 -6.900 5.379" Properties=species:S:1:pos:R:3 comment="GGA-PBEsol HoBi12O20, optimized geometry" total_energy_ha_per_atom=-0.2294 mass_density_g_cm3=9.63 dos_ef_per_ev_cell=17.079 sg="I23, No. 197" pbc="T T T"
Bi 0.390 -7.025 -0.916
O -3.034 -2.432 -4.481
O -4.541 -4.590 2.362
O -2.653 1.107 -0.286
O 0.979 -0.835 -2.586
O -0.093 -2.277 1.775
Bi -4.178 -4.713 -0.132
O -5.693 -0.261 0.329
Bi -6.528 -2.291 1.574
Bi -3.008 -1.064 -6.337
O 0.553 -5.724 -3.768
O -0.377 -3.297 -2.997
O -0.211 -5.190 4.046
Bi -3.532 -0.972 -0.048
O -0.115 -5.600 1.104
O -3.883 -0.696 -2.104
O -1.327 -1.506 -0.824
Bi -4.773 -2.458 -3.297
Ho 0.000 0.000 0.000
Bi -5.763 0.953 -2.443
Bi -1.142 -1.348 -3.210
Bi -0.560 -3.621 0.007
O -5.306 -0.235 -4.366
O -2.449 -3.622 0.934
O -1.401 -5.621 -1.283
O -3.587 -4.071 -2.227
O 2.231 -1.902 -5.895
O -0.682 -1.506 -5.464
Bi 1.186 -3.821 -4.907
O -5.189 -2.869 -0.212
O -6.047 2.522 -0.651
Bi -2.378 -5.025 3.031
Bi -1.831 -5.066 -3.267

=====

No. 8
10
Lattice="5.941 0.000 0.000 2.971 5.145 0.000 2.971 1.715 4.955" Properties=species:S:1:pos:R:3 comment="GGA-PBEsol HoBiO3, optimized geometry" total_energy_ha_per_atom=-0.2727 mass_density_g_cm3=9.25 dos_ef_per_ev_cell=0.000 sg="R3c, No. 161" pbc="T T T"
O 5.277 4.946 0.934
Bi 8.912 5.145 0.073
Ho 8.912 5.145 4.282
O 4.961 2.097 0.934
O 3.635 3.231 3.411
O 7.267 1.532 3.411
O 6.922 5.527 3.411
O 7.586 3.248 0.934
Bi 5.941 3.430 2.550
Ho 2.971 1.715 1.804

=====

No. 9
20
Lattice="5.509 0.000 0.000 0.000 6.349 0.000 0.000 0.000 8.466" Properties=species:S:1:pos:R:3 comment="GGA-PBEsol HoZnBi2O6, optimized geometry" total_energy_ha_per_atom=-0.2352 mass_density_g_cm3=8.35 dos_ef_per_ev_cell=6.088 sg="Pmn2_1, No. 31" pbc="T T T"
O 1.942 5.701 2.708
O 1.099 3.006 5.667
O 1.942 5.701 5.758
Bi 2.704 1.384 2.183
O 0.769 4.302 0.000
O 1.926 1.628 0.000
Zn 2.579 3.726 0.000
Bi 5.459 4.965 2.050
O 1.099 3.006 2.799
O 4.697 0.648 6.942
O 3.853 3.343 1.434
Zn 5.334 2.623 4.233
Bi 2.704 1.384 6.283
O 4.681 4.721 4.233
O 3.524 2.047 4.233
Bi 5.459 4.965 6.417
Ho 5.276 2.134 0.000
Ho 2.522 4.215 4.233
O 4.697 0.648 1.525
O 3.853 3.343 7.032

=====

No. 10
16
Lattice="7.680 0.000 0.000 -3.840 7.729 0.043 0.000 3.779 6.686" Properties=species:S:1:pos:R:3 comment="GGA-PBEsol Ho5BiPd2, optimized geometry" total_energy_ha_per_atom=-0.2141 mass_density_g_cm3=10.46 dos_ef_per_ev_cell=12.968 sg="I4/mcm, No. 140" pbc="T T T"
Ho 0.000 0.000 0.000
Ho 1.191 2.938 1.383
Ho -1.191 9.287 6.617
Ho 6.490 4.110 3.456
Ho 5.031 2.220 0.113
Ho 3.840 1.889 3.343
Bi 3.840 4.809 1.693
Bi 0.000 6.698 5.036
Ho 1.191 6.680 2.004
Ho 2.649 4.827 4.726
Ho -2.649 7.398 3.274
Pd 2.796 0.514 0.909
Pd 1.044 2.403 4.252
Pd 6.636 1.376 2.434
Ho 2.649 8.570 5.347
Pd 4.884 3.265 5.778

=====

No. 11
16
Lattice="-2.926 5.751 4.173 -4.239 -7.521 0.316 0.913 -4.172 6.389" Properties=species:S:1:pos:R:3 comment="GGA-PBEsol Ho5BiPt2, optimized geometry" total_energy_ha_per_atom=-0.2315 mass_density_g_cm3=11.92 dos_ef_per_ev_cell=14.036 sg="I4/mcm, No. 140" pbc="T T T"
Pt -1.079 0.070 8.170
Ho -1.007 0.790 5.281
Ho -4.338 -3.701 4.271
Ho -1.823 -1.231 2.632
Pt -2.192 3.447 5.913
Pt 0.179 -1.868 4.649
Ho -2.796 -8.366 7.355
Bi -4.086 -0.490 4.885
Ho -4.429 -4.710 8.246
Pt -0.934 1.509 2.392
Ho -2.705 -7.357 3.380
Bi -2.166 -5.451 5.993
Ho -1.914 -2.241 6.607
Ho -3.548 1.415 7.499
Ho -3.457 2.425 3.523
Ho 0.000 0.000 0.000

=====

No. 12
9
Lattice="-2.335 -2.552 -1.830 2.707 -5.561 4.302 -6.036 3.907 2.252" Properties=species:S:1:pos:R:3 comment="GGA-PBEsol HoBiRh, optimized geometry" total_energy_ha_per_atom=-0.2409 mass_density_g_cm3=12.35 dos_ef_per_ev_cell=4.750 sg="P-62m, No. 189" pbc="T T T"
Ho -3.621 2.344 1.351
Bi -2.773 -0.237 -0.316
Ho 1.624 -3.337 2.581
Bi -3.610 -2.491 3.895
Rh 0.000 0.000 0.000
Bi -0.447 -2.755 0.229
Rh -1.374 -3.681 2.703
Ho -1.331 -0.662 2.621
Rh -4.289 -0.525 2.020

=====

No. 13
9
Lattice="4.038 0.000 0.000 0.000 8.255 0.000 0.000 -4.128 7.149" Properties=species:S:1:pos:R:3 comment="GGA-PBEsol Ho6Bi2Rh, optimized geometry" total_energy_ha_per_atom=-0.2130 mass_density_g_cm3=10.52 dos_ef_per_ev_cell=10.172 sg="P-62m, No. 189" pbc="T T T"
Bi 0.000 0.000 4.766
Ho 0.000 3.149 5.455
Ho 2.019 5.001 0.000
Ho 0.000 -0.978 1.694
Ho 2.019 1.627 2.818
Ho 2.019 -2.501 4.331
Ho 0.000 1.956 0.000
Bi 0.000 4.128 2.383
Rh 2.019 0.000 0.000

=====

No. 14
16
Lattice="4.350 0.000 0.000 -2.175 7.256 0.198 0.000 -1.718 19.895" Properties=species:S:1:pos:R:3 comment="GGA-PBEsol BiI, optimized geometry" total_energy_ha_per_atom=-0.1210 mass_density_g_cm3=7.09 sg="C2/m, No. 12" pbc="T T T"
I 0.000 4.966 3.103
I 0.000 5.083 7.380
Bi 0.000 -1.485 17.817
Bi 2.175 2.950 7.881
Bi 0.000 2.588 12.213
I 2.175 0.572 16.990
Bi 2.175 5.191 15.008
I 0.000 0.907 8.761
Bi 0.000 0.347 5.085
I 2.175 1.804 1.217
I 0.000 3.734 18.876
I 2.175 4.632 11.332
Bi 2.175 7.023 2.277
Bi 0.000 3.100 15.237
I 2.175 0.455 12.713
Bi 2.175 2.438 4.856

=====

No. 15
20
Lattice="4.404 0.000 0.000 -2.202 12.839 -0.060 0.000 -3.409 12.793" Properties=species:S:1:pos:R:3 comment="GGA-PBEsol Bi4I, optimized geometry" total_energy_ha_per_atom=-0.1423 mass_density_g_cm3=8.85 dos_ef_per_ev_cell=7.791 sg="C2/m, No. 12" pbc="T T T"
Bi 2.202 1.134 8.061
Bi 0.000 -0.973 11.237
I 2.202 5.462 1.693
Bi 2.202 10.403 1.497
Bi 2.202 0.408 4.716
Bi 0.000 8.296 4.673
Bi 0.000 -1.731 7.938
I 0.000 3.326 4.917
Bi 2.202 6.159 4.738
Bi 0.000 8.983 11.104
Bi 2.202 11.161 4.795
Bi 0.000 8.302 1.626
Bi 2.202 0.447 1.630
Bi 2.202 6.885 11.232
I 2.202 6.105 7.817
Bi 2.202 1.128 11.108
Bi 0.000 9.022 8.018
Bi 0.000 3.271 7.996
I 0.000 3.969 11.040
Bi 0.000 2.545 1.501

=====

No. 16
22
Lattice="-1.792 1.043 3.898 3.928 -11.682 4.930 9.857 11.001 1.588" Properties=species:S:1:pos:R:3 comment="GGA-PBEsol Bi9I2, optimized geometry" total_energy_ha_per_atom=-0.1438 mass_density_g_cm3=8.95 dos_ef_per_ev_cell=7.865 sg="P2_1/m, No. 11" pbc="T T T"
Bi 4.601 -8.198 5.558
Bi 10.097 -0.902 6.132
Bi 5.890 4.441 2.769
Bi 2.031 -1.682 5.134
Bi 7.149 2.326 6.414
Bi 11.117 -0.170 8.905
Bi 6.947 5.245 5.540
I 2.404 4.660 3.609
Bi 1.577 -4.964 5.803
Bi 4.845 -1.965 4.003
Bi 7.393 8.560 4.858
I 9.590 -4.298 6.807
I 6.536 -1.053 7.036
Bi 1.795 -7.915 6.693
Bi 10.417 5.326 4.613
Bi 0.878 0.531 1.511
Bi 5.047 -4.884 4.876
Bi 9.963 2.043 5.282
Bi 1.897 1.263 4.284
I 5.458 1.415 3.380
Bi 10.199 8.276 3.724
Bi 6.104 -4.079 7.647

=====

No. 17
4
Lattice="5.488 0.000 0.000 2.744 4.753 0.000 2.744 1.584 4.481" Properties=species:S:1:pos:R:3 comment="GGA-PBEsol InBi2I, optimized geometry" total_energy_ha_per_atom=-0.1180 mass_density_g_cm3=9.37 dos_ef_per_ev_cell=2.333 sg="Fm-3m, No. 225" pbc="T T T"
Bi 8.232 4.753 3.361
I 5.488 3.169 2.241
In 0.000 0.000 0.000
Bi 2.744 1.584 1.120

=====

No. 18
5
Lattice="-1.343 -2.547 2.640 0.416 -4.443 -4.075 5.660 -1.120 1.798" Properties=species:S:1:pos:R:3 comment="GGA-PBEsol InBiI2N, optimized geometry" total_energy_ha_per_atom=-0.1207 mass_density_g_cm3=6.89 dos_ef_per_ev_cell=5.476 sg="P4/mmm, No. 123" pbc="T T T"
Bi 2.366 -4.055 0.182
N -0.671 -1.274 1.320
I 0.208 -2.222 -2.038
I 2.830 -0.560 0.899
In 0.000 0.000 0.000